Record 1
The following is a DFT calculation (PBE) of a relaxed K8CdO2 crystal.

Cell lengths 15.5681, 8.2548, 7.8103 Å; angles 90.00, 103.55, 90.00 degrees
Last column: nearest neighbours and their distance in Å.
Space group C2/m (No. 12)
One atom of each set of equivalent atoms:
K: 0.1410 0.0000 0.1896  1 O 2.60
K: 0.1441 0.5000 0.2284  1 O 2.60
K: 0.1596 0.2542 0.8157  2 O 2.69-2.74
Cd: 0.0000 0.0000 0.5000  6 K 3.63-3.71
O: 0.2463 0.5000 0.0085  6 K 2.60-2.74

Computed properties:
Theoretical density: 1.556 g/cm³
Final energy: -51.03 eV/cell
Formation energy (no corrections): -0.537 eV/atom
Magnetic moment: 0.00 Bohr magnetons per cell
D(E_F): 10.4 states/eV/cell
V: 44.4 Å³ per atom

---

Record 2
The following is a DFT calculation (PBE) of a relaxed BaLiMg2 crystal.

Cell lengths 6.4498, 6.4498, 31.2064 Å; angles 90.00, 90.00, 120.00 degrees
Last column: nearest neighbours and their distance in Å.
Space group R-3m (No. 166, hexagonal axes)
One atom of each set of equivalent atoms:
Ba: 0.0000 0.0000 0.0000  6 Li 3.72, 12 Mg 4.06
Ba: 0.0000 0.0000 0.1426  9 Mg 3.79-3.96, 3 Li 3.80, 3 Ba 4.02
Li: 0.0000 0.0000 0.3332  6 Mg 3.08-3.09
Li: 0.0000 0.0000 0.5000  6 Mg 3.30
Mg: 0.0019 0.5009 0.0790  3 Li 3.08-3.30, 4 Mg 3.21-3.24

Computed properties:
E_form: -0.181 eV per formula unit
Theoretical density: 2.564 g/cm³
Final energy: -64.86 eV/cell
Excess energy over the best structure of this formula in the dataset: 0 meV/atom
Magnetic moment: 0.00 Bohr magnetons per cell
D(E_F): 35.1 states/eV/cell
V: 31.2 Å³ per atom

---

Record 3
The following is a DFT calculation (PBE) of a relaxed Cs3InHg crystal.

Cell lengths 7.5009, 7.5009, 7.5009 Å; angles 90.00, 90.00, 90.00 degrees
Last column: nearest neighbours and their distance in Å.
Space group Pm-3m (No. 221)
One atom of each set of equivalent atoms:
Cs: 0.0000 0.0000 0.5000  2 In 3.75
In: 0.0000 0.0000 0.0000  6 Cs 3.75
Hg: 0.5000 0.5000 0.5000  12 Cs 5.30

Computed properties:
E_form: 0.418 eV per formula unit
Theoretical density: 2.810 g/cm³
Final energy: -5.18 eV/cell
Excess energy over the best structure of this formula in the dataset: 205 meV/atom
Magnetic moment: 0.00 Bohr magnetons per cell
D(E_F): 3.4 states/eV/cell
V: 84.4 Å³ per atom